## Na2CaVP2O9 (PBE with a Hubbard U)

Data for Na2CaVP2O9 after structural relaxation.

Cell: 10.6784 6.6621 10.1688 Å, 90.00 90.00 90.00°
Last column: nearest neighbours and their distance in Å.
Sites, in units of the cell vectors:
Na  0.2156  0.0029  0.1355  6 O 2.30-2.53
Na  0.2156  0.4971  0.1355  6 O 2.30-2.53
Na  0.2844  0.5029  0.6355  6 O 2.30-2.53
Na  0.2844  0.9971  0.6355  6 O 2.30-2.53
Na  0.7156  0.0029  0.3645  6 O 2.30-2.53
Na  0.7156  0.4971  0.3645  6 O 2.30-2.53
Na  0.7844  0.5029  0.8645  6 O 2.30-2.53
Na  0.7844  0.9971  0.8645  6 O 2.30-2.53
Ca  0.0612  0.2500  0.4138  5 O 2.32-2.53
Ca  0.4388  0.7500  0.9138  5 O 2.32-2.53
Ca  0.5612  0.2500  0.0862  5 O 2.32-2.53
Ca  0.9388  0.7500  0.5862  5 O 2.32-2.53
V  0.0326  0.2500  0.8093  1 O 1.66
V  0.4674  0.7500  0.3093  1 O 1.66
V  0.5326  0.2500  0.6907  1 O 1.66
V  0.9674  0.7500  0.1907  1 O 1.66
P  0.0889  0.7500  0.8647  4 O 1.55-1.58
P  0.1779  0.7500  0.4173  4 O 1.54-1.56
P  0.3221  0.2500  0.9173  4 O 1.54-1.56
P  0.4111  0.2500  0.3647  4 O 1.55-1.58
P  0.5889  0.7500  0.6353  4 O 1.55-1.58
P  0.6779  0.7500  0.0827  4 O 1.54-1.56
P  0.8221  0.2500  0.5827  4 O 1.54-1.56
P  0.9111  0.2500  0.1353  4 O 1.55-1.58
O  0.0120  0.5657  0.8093  1 P 1.58
O  0.0120  0.9343  0.8093  1 P 1.58
O  0.0894  0.7500  0.0170  1 P 1.55
O  0.1106  0.2500  0.6676  1 V 1.66
O  0.1233  0.5650  0.4873  1 P 1.54
O  0.1233  0.9350  0.4873  1 P 1.54
O  0.1437  0.7500  0.2692  1 P 1.55
O  0.1769  0.2500  0.9352  1 P 1.56
O  0.2241  0.7500  0.8094  1 P 1.55
O  0.2759  0.2500  0.3094  1 P 1.55
O  0.3231  0.7500  0.4352  1 P 1.56
O  0.3563  0.2500  0.7692  1 P 1.55
O  0.3767  0.0650  0.9873  1 P 1.54
O  0.3767  0.4350  0.9873  1 P 1.54
O  0.3894  0.7500  0.1676  1 V 1.66
O  0.4106  0.2500  0.5170  1 P 1.55
O  0.4880  0.0657  0.3093  1 P 1.58
O  0.4880  0.4343  0.3093  1 P 1.58
O  0.5120  0.5657  0.6907  1 P 1.58
O  0.5120  0.9343  0.6907  1 P 1.58
O  0.5894  0.7500  0.4830  1 P 1.55
O  0.6106  0.2500  0.8324  1 V 1.66
O  0.6233  0.5650  0.0127  1 P 1.54
O  0.6233  0.9350  0.0127  1 P 1.54
O  0.6437  0.7500  0.2308  1 P 1.55
O  0.6769  0.2500  0.5648  1 P 1.56
O  0.7241  0.7500  0.6906  1 P 1.55
O  0.7759  0.2500  0.1906  1 P 1.55
O  0.8231  0.7500  0.0648  1 P 1.56
O  0.8563  0.2500  0.7308  1 P 1.55
O  0.8767  0.0650  0.5127  1 P 1.54
O  0.8767  0.4350  0.5127  1 P 1.54
O  0.8894  0.7500  0.3324  1 V 1.66
O  0.9106  0.2500  0.9830  1 P 1.55
O  0.9880  0.0657  0.1907  1 P 1.58
O  0.9880  0.4343  0.1907  1 P 1.58

Computed properties:
The calculation puts the uncorrected energy at -6.91 eV per atom. The space group is Pnma.